Entry from Alexandria: a relaxed Dy5AgTe2 crystal (GGA-PBE).

Values from the calculation:
Formation energy (no corrections)   -0.490 eV/atom
Raw total energy   -36.06 eV/f.u.
Theoretical density   7.992 Mg/m³

Lattice parameters (Å, degrees): 5.936 12.847 12.812 90.00 90.00 90.00
Space group Cmcm (No. 63)
Symmetry-distinct sites (fractional):
Dy (0.000, 0.050, 0.113)
Dy (0.000, 0.374, 0.750)
Dy (0.000, 0.387, 0.068)
Ag (0.000, 0.238, 0.250)
Te (0.000, 0.192, 0.588)